Entry 1:
A geometry-optimized RbErCoCl6 structure, computed with PBE.

Results
Symmetry: No. 5
Total energy: -4.2811 eV/atom
Raw formation energy: -14.8 eV/f.u.

Lattice parameters (Å, degrees): 6.6474 6.6356 7.4001 90.23 90.12 60.06
Each line ends with the local moment (μB).
Fractional coordinates of all 9 atoms:
Rb 0.0002 0.9999 0.0000  0.00
Er 0.6674 0.6663 0.5000  0.00
Co 0.3342 0.3329 0.5000  2.52
Cl 0.0177 0.3707 0.3003  0.05
Cl 0.3638 0.0180 0.6962  0.05
Cl 0.6174 0.3642 0.6958  0.06
Cl 0.0177 0.6116 0.6997  0.05
Cl 0.3638 0.6181 0.3038  0.05
Cl 0.6174 0.0184 0.3042  0.06

Entry 2:
A geometry-optimized Sm2SnI3 structure, computed with PBE.

Results
Symmetry: No. 12
Total energy: -4.0581 eV/atom
Raw formation energy: -6.3 eV/f.u.

Lattice parameters (Å, degrees): 4.3456 10.3799 11.2151 80.67 78.83 77.92
Fractional coordinates of all 12 atoms:
Sm 0.8735 0.4275 0.8254
Sm 0.1265 0.5725 0.1746
Sm 0.6087 0.2137 0.5688
Sm 0.3913 0.7863 0.4312
Sn 0.4326 0.5078 0.6269
Sn 0.5674 0.4922 0.3731
I 0.0466 0.1277 0.7790
I 0.9534 0.8723 0.2210
I 0.6747 0.6819 0.9688
I 0.3253 0.3181 0.0312
I 0.7585 0.8693 0.6138
I 0.2415 0.1307 0.3862

Entry 3:
A geometry-optimized PmPbS3 structure, computed with PBE.

Results
Symmetry: No. 148
Total energy: -5.2251 eV/atom
Raw formation energy: -5.3 eV/f.u.

Lattice parameters (Å, degrees): 7.1683 7.1702 7.5292 61.59 61.61 59.97
Fractional coordinates of all 10 atoms:
Pm 0.3529 0.3527 0.9418
Pm 0.6471 0.6473 0.0582
Pb 0.8549 0.8547 0.4359
Pb 0.1451 0.1453 0.5641
S 0.7441 0.4584 0.7508
S 0.0464 0.7444 0.7511
S 0.4583 0.0468 0.7507
S 0.2559 0.5416 0.2492
S 0.9536 0.2556 0.2489
S 0.5417 0.9532 0.2493

Entry 4:
A geometry-optimized Hf2NbBi2 structure, computed with PBE.

Results
Symmetry: No. 127
Total energy: -7.3855 eV/atom
Calculated formation energy: 0.81 eV/f.u.

Lattice parameters (Å, degrees): 7.7091 7.7091 3.9090 90.00 90.00 90.00
Fractional coordinates of all 10 atoms:
Nb 0.0000 0.0000 0.0000
Nb 0.5000 0.5000 0.0000
Hf 0.1490 0.6490 0.5000
Hf 0.6490 0.8510 0.5000
Hf 0.8510 0.3510 0.5000
Hf 0.3510 0.1490 0.5000
Bi 0.3484 0.8484 0.0000
Bi 0.8484 0.6516 0.0000
Bi 0.6516 0.1516 0.0000
Bi 0.1516 0.3484 0.0000

Entry 5:
A geometry-optimized KPu3Br8 structure, computed with PBE.

Results
Symmetry: No. 12
Total energy: -6.3236 eV/atom
Raw formation energy: -18.4 eV/f.u.

Lattice parameters (Å, degrees): 9.0124 9.0707 8.5088 122.68 90.00 119.79
Each line ends with the local moment (μB).
Fractional coordinates of all 12 atoms:
K 0.0000 0.0000 0.0000  0.00
Pu 0.5000 0.0000 0.0000  -5.55
Pu 0.5000 0.5000 0.0000  5.57
Pu 0.0000 0.5000 0.0000  5.57
Br 0.2541 0.5082 0.7638  -0.01
Br 0.7459 0.4918 0.2362  -0.01
Br 0.2798 0.0214 0.7636  0.00
Br 0.7416 0.0214 0.7636  0.00
Br 0.7416 0.4832 0.7651  -0.03
Br 0.2584 0.5168 0.2349  -0.03
Br 0.2584 0.9786 0.2364  0.00
Br 0.7202 0.9786 0.2364  0.00